Entry from Alexandria via LeMat-Bulk: an optimized crystal structure of MnAgP2S (PBE).

```
MnAgP2S
1.0
4.7663 0.0000 0.0000
0.0000 4.7663 0.0000
0.0000 0.0000 4.9163
Mn Ag P S
1 1 2 1
Cartesian
0.0000 0.0000 0.0000 Mn
2.3831 2.3831 2.4582 Ag
0.0000 2.3831 2.4582 P
2.3831 0.0000 2.4582 P
2.3831 2.3831 0.0000 S
```

Calculated values
Formation energy (no corrections)   111 kJ/mol of atoms
ΔE to the lowest computed polymorph   68.0 kJ/mol of atoms
Calculated density   3.82 Mg/m³
Energy   -21.215 eV per formula unit